Ba3Be2NiO6 | GGA+U | relaxed

## Properties
The value obtained for the energy is -6.06 eV/atom. The magnetic moment is 2.01 μB per cell. As for the calculated volume: 15.774 Å³/atom. For the theoretical density, the calculation gives 5.13 Mg/m³.

Cell lengths 5.688, 5.688, 6.756 Å; angles 90.00, 90.00, 120.00 degrees
Fractional coordinates of all 12 atoms:
Ba1 0.000 0.000 0.000
Ba2 0.333 0.667 0.675
Ba3 0.667 0.333 0.325
Be1 0.333 0.667 0.276
Be2 0.667 0.333 0.724
Ni1 0.000 0.000 0.500
O1 0.177 0.354 0.300
O2 0.177 0.823 0.300
O3 0.354 0.177 0.700
O4 0.646 0.823 0.300
O5 0.823 0.177 0.700
O6 0.823 0.646 0.700